# K2CeU3O12 PBE optimized geometry
data_K2CeU3O12
_cell_length_a 8.0609
_cell_length_b 8.0609
_cell_length_c 19.3669
_cell_angle_alpha 90.00
_cell_angle_beta 90.00
_cell_angle_gamma 120.00
_symmetry_space_group_name_H-M 'R -3 m'
_symmetry_Int_Tables_number 166
_symmetry_space_group_name_Hall '-R 3 2"'
loop_
_atom_site_label
_atom_site_type_symbol
_atom_site_fract_x
_atom_site_fract_y
_atom_site_fract_z
K1 K 0.0000 0.0000 0.1756
Ce1 Ce 0.0000 0.0000 0.5000
U1 U 0.0000 0.5000 0.0000
O1 O 0.0635 0.5317 0.1020
O2 O 0.0913 0.5457 0.3542
# **Calculated density**: 5.14 Mg/m³
# **Formation energy without anion corrections**: -53.47 eV per formula unit